Material: ZrTe2Se
Method: DFT, PBEsol
State: optimized geometry

energy relative to the elements, uncorrected = -157 meV/atom
uncorrected energy = -5.16 eV per atom
magnetization = 0.000 μB per atom
N(E_F) = 4.344 states/eV per cell

Cell: 5.668 9.527 3.511 Å, 90.00 90.00 90.00°
Space group Cmmm (No. 65)
One atom of each set of equivalent atoms:
Zr  0.000  0.000  0.000 x2
Te  0.250  0.250  0.500 x4
Se  0.000  0.500  0.000 x2

Material: KCd2Au
Method: DFT, PBEsol
State: optimized geometry

ΔE_f = -0.02 eV/atom
uncorrected energy = -1.88 eV per atom
magnetization = 0.000 μB per atom
N(E_F) = 1.186 states/eV per cell

Cell: 3.587 4.969 5.730 Å, 90.00 98.14 90.00°
Space group P2/m (No. 10)
One atom of each set of equivalent atoms:
K  0.000  0.000  0.000 x1
Cd  0.414  0.500  0.732 x2
Au  0.500  0.000  0.500 x1